! In2ReAg, relaxed, DFT PBE; values from VASP
&SYSTEM
  ibrav = 0, nat = 4, ntyp = 3
/
ATOMIC_SPECIES
Re 186.21 Re.upf
Ag 107.87 Ag.upf
In 114.82 In.upf
ATOMIC_POSITIONS angstrom
Re 6.869 1.115 0.655
Ag 20.606 3.345 1.965
In 27.373 4.443 2.610
In 13.839 2.246 1.320
CELL_PARAMETERS angstrom
9.487 -0.020 -0.012
8.994 3.019 -0.012
8.994 1.460 2.643
! M_tot: 0.0 Bohr magnetons per cell
! D(E_F): 2.7 states/eV/f.u.
! Polymorph energy (0 for the lowest one): 0.000 eV/atom
! Space-group type: R-3m, No. 166
! E: -4.762 eV/atom
! Energy relative to the elements: 432 meV/atom